Below is crystalline ScAlCr2O6 at its relaxed geometry, with properties calculated at the PBE+U level.

Cell: 5.4537 5.4537 5.4537 Å, 55.61 55.61 55.61°
Last column: nearest neighbours and their distance in Å.
Element x y z (fractional)
Sc (0.0000, 0.0000, 0.0000)  6 O 2.04-2.23
Al (0.4917, 0.4917, 0.4917)  6 O 1.91-2.00
Cr (0.2905, 0.2905, 0.2905)  6 O 2.03-2.06
Cr (0.7949, 0.7949, 0.7949)  6 O 2.00-2.05
O (0.0986, 0.6794, 0.4051)  1 Al 2.00, 2 Cr 2.00-2.06, 1 Sc 2.04
O (0.2092, 0.5797, 0.8749)  1 Al 1.91, 2 Cr 2.03-2.05
O (0.4051, 0.0986, 0.6794)  1 Al 2.00, 2 Cr 2.00-2.06, 1 Sc 2.04
O (0.5797, 0.8749, 0.2092)  1 Al 1.91, 2 Cr 2.03-2.05
O (0.6794, 0.4051, 0.0986)  1 Al 2.00, 2 Cr 2.00-2.06, 1 Sc 2.04
O (0.8749, 0.2092, 0.5797)  1 Al 1.91, 2 Cr 2.03-2.05

Results
- Calculated volume: 10.30 A^3/atom
- Theoretical density: 4.38 g/cm³
- Magnetic moment: 0.600 μB per atom
- Energy: -80.7 eV/f.u.